(1)
## MnNbCoHSe2 (PBE)

Data for a geometry-optimized MnNbCoHSe2 structure.

Lattice parameters (Å, degrees): 3.4401 3.4926 8.1593 90.00 90.08 90.00
Closest atoms and distances in Å follow each position.
Fractional coordinates of all 6 atoms:
Mn: 0.0000 0.0000 0.0000  2 H 1.79
Nb: 0.4990 0.0000 0.7370  4 Se 2.70, 2 Mn 2.75, 2 Co 2.78, 4 H 3.02
Co: 0.5000 0.5000 0.0014  2 H 1.77
H: 0.9999 0.5000 0.9524  2 Co 1.77, 2 Mn 1.79
Se: 0.5005 0.0000 0.2084  2 Mn 2.42, 2 Co 2.43
Se: 0.9985 0.5000 0.5990  4 Nb 2.70, 1 H 2.88

Summary:
Its space-group type is Pm (6). The density of states at the Fermi level is 3.8 states/eV/f.u. For the energy above the most stable polymorph in this dataset, the calculation gives 45 meV/atom. The density comes out at 6195 kg/m³. The value obtained for the total energy is -0.23426 hartree per atom.

(2)
## SrSeNF2 (PBE)

Data for a geometry-optimized SrSeNF2 structure.

Lattice parameters (Å, degrees): 4.5456 4.5456 5.8091 90.00 90.00 90.00
Closest atoms and distances in Å follow each position.
Fractional coordinates of all 5 atoms:
Sr: 0.0000 0.0000 0.0000  4 F 2.27
Se: 0.5000 0.5000 0.5000  4 N 3.21
N: 0.0000 0.0000 0.5000  2 Sr 2.90, 4 Se 3.21
F: 0.0000 0.5000 0.0000  2 Sr 2.27
F: 0.5000 0.0000 0.0000  2 Sr 2.27

Summary:
Its space-group type is P4/mmm (123). The density of states at the Fermi level is 2.4 states/eV/f.u. The formation energy from raw total energies comes out at -3.2 eV per formula unit. For the energy above the most stable polymorph in this dataset, the calculation gives 463 meV/atom. The density comes out at 3024 kg/m³. The value obtained for the total energy is -0.15007 hartree per atom.

(3)
## YZr2Fe (PBE)

Data for a geometry-optimized YZr2Fe structure.

Lattice parameters (Å, degrees): 5.8836 5.8836 5.0553 115.39 115.39 33.61
Closest atoms and distances in Å follow each position.
Fractional coordinates of all 4 atoms:
Y: 0.0000 0.0000 0.0000  2 Fe 2.83
Zr: 0.5955 0.5955 0.5945  2 Fe 2.53
Zr: 0.7929 0.7929 0.2994  2 Fe 2.73
Fe: 0.2786 0.2786 0.7077  4 Zr 2.53-2.73, 2 Y 2.83

Summary:
Its space-group type is Cm (8). The density of states at the Fermi level is 3.5 states/eV/f.u. For the energy above the most stable polymorph in this dataset, the calculation gives 68 meV/atom. The density comes out at 6273 kg/m³. The formation energy from the elements is 55 meV/atom. The value obtained for the total energy is -0.29219 hartree per atom.

(4)
## FeAsPb2S (PBE)

Data for a geometry-optimized FeAsPb2S structure.

Lattice parameters (Å, degrees): 5.6618 5.6618 4.1758 90.00 90.00 90.00
Closest atoms and distances in Å follow each position.
Fractional coordinates of all 5 atoms:
Fe: 0.0000 0.0000 0.0000  2 S 2.09
As: 0.5000 0.5000 0.0000  8 Pb 3.52
Pb: 0.0000 0.5000 0.5000  2 S 2.83
Pb: 0.5000 0.0000 0.5000  2 S 2.83
S: 0.0000 0.0000 0.5000  2 Fe 2.09

Summary:
Its space-group type is P4/mmm (123). The density of states at the Fermi level is 3.9 states/eV/f.u. The formation energy from raw total energies comes out at 1.6 eV per formula unit. The density comes out at 7161 kg/m³. The value obtained for the total energy is -0.16934 hartree per atom.